(1)
# NdSi2Rh3

A geometry-optimized NdSi2Rh3 structure (PBE, the Alexandria database).

Summary:
* space-group type: No. 191
* distance to the lowest polymorph of the same formula: 3.3 kJ/mol of atoms
* calculated total energy: -7.293 eV/atom
* magnetization: 0.00 μB per cell

Lattice parameters (Å, degrees): 5.6018 5.6018 3.6688 90.00 90.00 120.00
Fractional positions:
Nd 0.0000 0.0000 0.0000
Si 0.6667 0.3333 0.0000
Si 0.3333 0.6667 0.0000
Rh 0.5000 0.0000 0.5000
Rh 0.0000 0.5000 0.5000
Rh 0.5000 0.5000 0.5000

(2)
# NdSi3Rh5

A geometry-optimized NdSi3Rh5 structure (PBE, the Alexandria database).

Summary:
* space-group type: No. 63
* calculated total energy: -7.226 eV/atom
* magnetization: 0.00 μB per cell

Lattice parameters (Å, degrees): 3.9460 6.4761 12.2163 90.00 90.00 107.74
Fractional positions:
Nd 0.8380 0.6760 0.7500
Nd 0.1620 0.3240 0.2500
Si 0.3839 0.7679 0.9601
Si 0.8888 0.7777 0.2500
Si 0.3839 0.7679 0.5399
Si 0.6161 0.2321 0.4601
Si 0.1112 0.2223 0.7500
Si 0.6161 0.2321 0.0399
Rh 0.7976 0.5952 0.4263
Rh 0.2024 0.4048 0.9263
Rh 0.0000 0.0000 0.5000
Rh 0.0000 0.0000 0.0000
Rh 0.4486 0.8972 0.1439
Rh 0.5514 0.1028 0.8561
Rh 0.5514 0.1028 0.6439
Rh 0.7976 0.5952 0.0737
Rh 0.2024 0.4048 0.5737
Rh 0.4486 0.8972 0.3561